1.
An optimized crystal structure of KRe, computed with PBE-GGA.

Computed properties:
E_form, meV/atom: 1461
Distance to the lowest polymorph of the same formula, eV per atom: 0.630
E_tot, eV/cell: -10.6
Spin magnetization, μB per cell: 0.000

a b c (Å): 2.6490 2.6490 5.9100
angles (deg): 90.00 90.00 90.00
Atoms (fractional coordinates):
Re 0.5000 0.5000 0.5000
K 0.0000 0.0000 0.0000

---

2.
An optimized crystal structure of ErZn4Ga, computed with PBE-GGA.

Computed properties:
E_form, meV/atom: -144
E_tot, eV/cell: -13.5
Spin magnetization, μB per cell: 0.000

a b c (Å): 5.3489 5.3489 5.3489
angles (deg): 60.00 60.00 60.00
Atoms (fractional coordinates):
Er 0.2500 0.2500 0.2500
Zn 0.6248 0.1255 0.6248
Zn 0.1255 0.6248 0.6248
Zn 0.6248 0.6248 0.1255
Zn 0.6248 0.6248 0.6248
Ga 0.0000 0.0000 0.0000

---

3.
An optimized crystal structure of LaPmAu3, computed with PBE-GGA.

Computed properties:
E_form, meV/atom: -766
Distance to the lowest polymorph of the same formula, eV per atom: 0.050
E_tot, eV/cell: -93.4
Spin magnetization, μB per cell: 0.000

a b c (Å): 7.9598 8.8498 8.8500
angles (deg): 54.67 90.00 90.00
Atoms (fractional coordinates):
Pm 0.2500 0.4355 0.0244
Pm 0.7500 0.0244 0.4355
Pm 0.7500 0.5645 0.9756
Pm 0.2500 0.9756 0.5645
Au 0.0649 0.9487 0.2788
Au 0.9999 0.3384 0.3381
Au 0.4999 0.3381 0.3384
Au 0.9351 0.0513 0.7212
Au 0.4351 0.9491 0.2786
Au 0.5001 0.6619 0.6616
Au 0.5649 0.2788 0.9487
Au 0.5649 0.0509 0.7214
Au 0.4351 0.7212 0.0513
Au 0.0001 0.6616 0.6619
Au 0.0649 0.7214 0.0509
Au 0.9351 0.2786 0.9491
La 0.7500 0.9065 0.0935
La 0.2500 0.0935 0.9065
La 0.7500 0.4279 0.5721
La 0.2500 0.5721 0.4279

---

4.
An optimized crystal structure of CaMg5Tl7, computed with PBE-GGA.

Computed properties:
E_form, meV/atom: -72
E_tot, eV/cell: -27.5
Spin magnetization, μB per cell: 0.000

a b c (Å): 6.1930 8.1043 8.1043
angles (deg): 83.16 67.54 67.54
Atoms (fractional coordinates):
Tl 0.9965 0.3402 0.6667
Tl 0.9965 0.6667 0.3402
Tl 0.6340 0.3660 0.3660
Tl 0.5132 0.1695 0.8041
Tl 0.3213 0.6787 0.6787
Tl 0.2727 0.2273 0.2273
Tl 0.5132 0.8041 0.1695
Mg 0.5016 0.9996 0.4923
Mg 0.5016 0.4923 0.9996
Mg 0.7446 0.7554 0.7554
Mg 0.0065 0.9996 0.4923
Mg 0.0065 0.4923 0.9996
Ca 0.9918 0.0082 0.0082

---

5.
An optimized crystal structure of ZnCr2Ni, computed with PBE-GGA.

Computed properties:
E_form, meV/atom: 144
E_tot, eV/cell: -25.7
Spin magnetization, μB per cell: 0.143

a b c (Å): 2.4803 3.7038 5.2508
angles (deg): 90.00 90.00 90.00
Atoms (fractional coordinates):
Cr 0.0000 0.0000 0.0102
Cr 0.5000 0.5000 0.2455
Ni 0.0000 0.0000 0.5050
Zn 0.5000 0.5000 0.7393

---

6.
An optimized crystal structure of TaCu2Re, computed with PBE-GGA.

Computed properties:
E_form, meV/atom: 350
Distance to the lowest polymorph of the same formula, eV per atom: 0.248
E_tot, eV/cell: -31.1
Spin magnetization, μB per cell: 0.000

a b c (Å): 4.3129 4.3129 4.3129
angles (deg): 60.00 60.00 60.00
Atoms (fractional coordinates):
Ta 0.0000 0.0000 0.0000
Cu 0.7500 0.7500 0.7500
Cu 0.2500 0.2500 0.2500
Re 0.5000 0.5000 0.5000

---

7.
An optimized crystal structure of HfAl2FeSi, computed with PBE-GGA.

Computed properties:
Distance to the lowest polymorph of the same formula, eV per atom: 0.847
Uncorrected formation energy, eV/f.u.: 6.8
E_tot, eV/cell: -24.5
Spin magnetization, μB per cell: 3.479

a b c (Å): 5.1451 4.9601 5.1451
angles (deg): 90.00 90.00 90.00
Atoms (fractional coordinates):
Hf 0.0000 0.0000 0.0000
Si 0.0000 0.5000 0.0000
Al 0.5000 0.0000 0.0000
Al 0.0000 0.0000 0.5000
Fe 0.5000 0.5000 0.5000

---

8.
An optimized crystal structure of MgCu2Tc, computed with PBE-GGA.

Computed properties:
E_form, meV/atom: 152
E_tot, eV/cell: -19.5
Spin magnetization, μB per cell: 0.000

a b c (Å): 2.7084 2.7084 7.6556
angles (deg): 90.00 90.00 90.02
Atoms (fractional coordinates):
Mg 0.0000 0.0000 0.4880
Cu 0.5000 0.5000 0.2296
Cu 0.0000 0.0000 0.0120
Tc 0.5000 0.5000 0.7704

---

9.
An optimized crystal structure of MgBeCd, computed with PBE-GGA.

Computed properties:
E_form, meV/atom: 281
Distance to the lowest polymorph of the same formula, eV per atom: 0.128
E_tot, eV/cell: -5.4
Spin magnetization, μB per cell: 0.000

a b c (Å): 4.3011 4.3011 4.3011
angles (deg): 60.00 60.00 60.00
Atoms (fractional coordinates):
Be 0.7500 0.7500 0.7500
Cd 0.0000 0.0000 0.0000
Mg 0.5000 0.5000 0.5000

---

10.
An optimized crystal structure of Ac2Zn3Si4Pd, computed with PBE-GGA.

Computed properties:
Uncorrected formation energy, eV/f.u.: -4.9
E_tot, eV/cell: -43.8
Spin magnetization, μB per cell: 0.000

a b c (Å): 4.3632 4.3632 10.3858
angles (deg): 90.00 90.00 90.00
Atoms (fractional coordinates):
Si 0.5000 0.5000 0.0000
Si 0.5000 0.0000 0.6274
Si 0.0000 0.0000 0.0000
Si 0.0000 0.5000 0.3726
Zn 0.0000 0.5000 0.1310
Zn 0.5000 0.0000 0.8690
Zn 0.0000 0.0000 0.5000
Ac 0.0000 0.5000 0.7479
Ac 0.5000 0.0000 0.2521
Pd 0.5000 0.5000 0.5000

---

11.
An optimized crystal structure of TaTe2As, computed with PBE-GGA.

Computed properties:
Uncorrected formation energy, eV/f.u.: 2.0
E_tot, eV/cell: -20.8
Spin magnetization, μB per cell: 0.000

a b c (Å): 4.9646 4.9646 4.9646
angles (deg): 60.00 60.00 60.00
Atoms (fractional coordinates):
Te 0.7500 0.7500 0.7500
Te 0.0000 0.0000 0.0000
Ta 0.2500 0.2500 0.2500
As 0.5000 0.5000 0.5000

---

12.
An optimized crystal structure of Ba6P3H, computed with PBE-GGA.

Computed properties:
E_tot, eV/cell: -77.6
Spin magnetization, μB per cell: 4.052

a b c (Å): 7.6578 10.0632 10.0632
angles (deg): 102.98 90.00 90.00
Atoms (fractional coordinates):
Ba 0.6884 0.5688 0.1090
Ba 0.1800 0.0387 0.9613
Ba 0.1932 0.3579 0.3174
Ba 0.1654 0.7838 0.2162
Ba 0.1884 0.1090 0.5688
Ba 0.6932 0.3174 0.3579
Ba 0.6800 0.9613 0.0387
Ba 0.6932 0.6421 0.6826
Ba 0.6884 0.8910 0.4312
Ba 0.6654 0.2162 0.7838
Ba 0.1884 0.4312 0.8910
Ba 0.1932 0.6826 0.6421
H 0.5269 0.8101 0.1899
H 0.0269 0.1899 0.8101
P 0.9669 0.0693 0.2868
P 0.9669 0.7132 0.9307
P 0.4160 0.3861 0.6139
P 0.9160 0.6139 0.3861
P 0.4669 0.2868 0.0693
P 0.4669 0.9307 0.7132

---

13.
An optimized crystal structure of Gd2ZnF, computed with PBE-GGA.

Computed properties:
Uncorrected formation energy, eV/f.u.: -4.9
E_tot, eV/cell: -36.2
Spin magnetization, μB per cell: 14.377

a b c (Å): 3.8593 3.8593 7.0751
angles (deg): 74.17 74.17 60.00
Atoms (fractional coordinates):
Zn 0.5000 0.5000 0.5000
Gd 0.7371 0.7371 0.7888
Gd 0.2629 0.2629 0.2112
F 0.0000 0.0000 0.0000

---

14.
An optimized crystal structure of YPbAu2, computed with PBE-GGA.

Computed properties:
E_form, meV/atom: -432
E_tot, eV/cell: -18.5
Spin magnetization, μB per cell: 0.000

a b c (Å): 5.5076 5.5076 5.0246
angles (deg): 73.25 73.25 40.73
Atoms (fractional coordinates):
Au 0.7384 0.7384 0.7481
Au 0.0046 0.0046 0.0171
Pb 0.4922 0.4922 0.5334
Y 0.2648 0.2648 0.2014

---

15.
An optimized crystal structure of TmIn4Ni2, computed with PBE-GGA.

Computed properties:
E_form, meV/atom: -274
E_tot, eV/cell: -115.6
Spin magnetization, μB per cell: 0.000

a b c (Å): 4.3580 7.0999 18.0454
angles (deg): 90.00 90.00 90.00
Atoms (fractional coordinates):
Ni 0.7500 0.0473 0.2191
Ni 0.7500 0.2555 0.9559
Ni 0.7500 0.4527 0.7191
Ni 0.2500 0.5473 0.2809
Ni 0.2500 0.7555 0.5441
Ni 0.2500 0.9527 0.7809
Ni 0.7500 0.2445 0.4559
Ni 0.2500 0.7445 0.0441
In 0.7500 0.7510 0.3065
In 0.2500 0.1418 0.5319
In 0.2500 0.6623 0.6862
In 0.7500 0.6418 0.9681
In 0.2500 0.9933 0.9298
In 0.2500 0.3582 0.0319
In 0.7500 0.1623 0.8138
In 0.7500 0.3377 0.3138
In 0.2500 0.5067 0.4298
In 0.2500 0.8377 0.1862
In 0.7500 0.7490 0.8065
In 0.2500 0.2510 0.1935
In 0.7500 0.8582 0.4681
In 0.2500 0.2490 0.6935
In 0.7500 0.0067 0.0702
In 0.7500 0.4933 0.5702
Tm 0.7500 0.9573 0.6423
Tm 0.7500 0.5427 0.1423
Tm 0.2500 0.4573 0.8577
Tm 0.2500 0.0427 0.3577

---

16.
An optimized crystal structure of Pa2Te7Pb2, computed with PBE-GGA.

Computed properties:
Uncorrected formation energy, eV/f.u.: -6.3
E_tot, eV/cell: -54.7
Spin magnetization, μB per cell: 0.255

a b c (Å): 4.3994 10.1631 10.1631
angles (deg): 56.40 77.50 77.50
Atoms (fractional coordinates):
Te 0.1708 0.7193 0.9391
Te 0.4042 0.7139 0.4777
Te 0.8292 0.0609 0.2807
Te 0.1194 0.1727 0.5884
Te 0.8806 0.4116 0.8273
Te 0.5000 0.0160 0.9840
Te 0.5958 0.5223 0.2861
Pa 0.5000 0.3405 0.6595
Pa 0.0000 0.7912 0.2088
Pb 0.7573 0.7954 0.6900
Pb 0.2427 0.3100 0.2046

---

17.
An optimized crystal structure of Sc2PCl, computed with PBE-GGA.

Computed properties:
Uncorrected formation energy, eV/f.u.: -4.0
E_tot, eV/cell: -47.9
Spin magnetization, μB per cell: 0.000

a b c (Å): 5.8121 5.8121 7.1944
angles (deg): 66.18 66.18 90.00
Atoms (fractional coordinates):
Sc 0.6105 0.1250 0.2500
Sc 0.8750 0.8605 0.7500
Sc 0.1395 0.6250 0.2500
Sc 0.3750 0.3895 0.7500
Cl 0.0000 0.0000 0.0000
Cl 0.7500 0.2500 0.5000
P 0.2500 0.7500 0.5000
P 0.5000 0.5000 0.0000

---

18.
An optimized crystal structure of Li2TaPt3, computed with PBE-GGA.

Computed properties:
E_form, meV/atom: -641
E_tot, eV/cell: -75.3
Spin magnetization, μB per cell: 0.000

a b c (Å): 4.3759 6.8630 6.2382
angles (deg): 90.00 90.00 71.41
Atoms (fractional coordinates):
Li 0.6725 0.6550 0.5000
Li 0.0000 0.0000 0.0000
Li 0.0000 0.0000 0.5000
Li 0.3275 0.3450 0.5000
Ta 0.3434 0.3132 0.0000
Ta 0.6566 0.6868 0.0000
Pt 0.1676 0.6649 0.7486
Pt 0.1676 0.6649 0.2514
Pt 0.5000 0.0000 0.2682
Pt 0.8324 0.3351 0.7486
Pt 0.8324 0.3351 0.2514
Pt 0.5000 0.0000 0.7318

---

19.
An optimized crystal structure of CoBi3Mo, computed with PBE-GGA.

Computed properties:
E_form, meV/atom: 958
E_tot, eV/cell: -24.8
Spin magnetization, μB per cell: 2.870

a b c (Å): 5.0904 5.0904 5.0904
angles (deg): 90.00 90.00 90.00
Atoms (fractional coordinates):
Co 0.0000 0.0000 0.0000
Bi 0.0000 0.0000 0.5000
Bi 0.5000 0.0000 0.0000
Bi 0.0000 0.5000 0.0000
Mo 0.5000 0.5000 0.5000

---

20.
An optimized crystal structure of TeRu, computed with PBE-GGA.

Computed properties:
Uncorrected formation energy, eV/f.u.: 0.2
E_tot, eV/cell: -24.4
Spin magnetization, μB per cell: 0.000

a b c (Å): 3.1869 3.9302 6.8769
angles (deg): 90.00 90.00 90.00
Atoms (fractional coordinates):
Te 0.0000 0.0000 0.6108
Te 0.5000 0.5000 0.1392
Ru 0.5000 0.5000 0.7597
Ru 0.0000 0.0000 0.9903

---

21.
An optimized crystal structure of Ce4SmGa4, computed with PBE-GGA.

Computed properties:
E_form, meV/atom: -270
E_tot, eV/cell: -86.0
Spin magnetization, μB per cell: 5.141

a b c (Å): 5.9430 8.5619 8.5619
angles (deg): 90.00 90.00 90.00
Atoms (fractional coordinates):
Ce 0.1272 0.0662 0.6529
Ce 0.1272 0.9338 0.3471
Ce 0.8728 0.6529 0.9338
Ce 0.6272 0.8471 0.5662
Ce 0.8728 0.3471 0.0662
Ce 0.3728 0.4338 0.8471
Ce 0.6272 0.1529 0.4338
Ce 0.3728 0.5662 0.1529
Ga 0.4008 0.1921 0.1082
Ga 0.9008 0.6082 0.3079
Ga 0.4008 0.8079 0.8918
Ga 0.9008 0.3918 0.6921
Ga 0.5992 0.1082 0.8079
Ga 0.0992 0.6921 0.6082
Ga 0.0992 0.3079 0.3918
Ga 0.5992 0.8918 0.1921
Sm 0.0000 0.0000 0.0000
Sm 0.5000 0.5000 0.5000

---

22.
An optimized crystal structure of BaBe3Mo, computed with PBE-GGA.

Computed properties:
E_form, meV/atom: 763
Distance to the lowest polymorph of the same formula, eV per atom: 0.000
E_tot, eV/cell: -20.1
Spin magnetization, μB per cell: 0.000

a b c (Å): 4.6622 4.6622 4.6622
angles (deg): 90.00 90.00 90.00
Atoms (fractional coordinates):
Be 0.0000 0.0000 0.5000
Be 0.0000 0.5000 0.0000
Be 0.5000 0.0000 0.0000
Mo 0.0000 0.0000 0.0000
Ba 0.5000 0.5000 0.5000

---

23.
An optimized crystal structure of AcPt2Au, computed with PBE-GGA.

Computed properties:
E_form, meV/atom: -694
Distance to the lowest polymorph of the same formula, eV per atom: 0.072
E_tot, eV/cell: -44.5
Spin magnetization, μB per cell: 0.000

a b c (Å): 4.3969 4.1954 10.2895
angles (deg): 101.76 90.00 90.00
Atoms (fractional coordinates):
Ac 0.2500 0.8950 0.7900
Ac 0.7500 0.1050 0.2100
Pt 0.7500 0.7471 0.4943
Pt 0.7500 0.4660 0.9320
Pt 0.2500 0.2529 0.5057
Pt 0.2500 0.5340 0.0680
Au 0.2500 0.6646 0.3293
Au 0.7500 0.3354 0.6707